{"formula": "LiNb4Se8", "functional": "PBE", "state": "relaxed", "lattice_angstrom": [[-6.478, 0.682, 3.599], [-0.160, -0.164, 7.439], [-1.495, 6.205, 3.828]], "species": ["Li", "Nb", "Nb", "Nb", "Nb", "Se", "Se", "Se", "Se", "Se", "Se", "Se", "Se"], "fractional_positions": [[0.750, 0.750, 0.750], [0.924, 0.359, 0.359], [0.359, 0.924, 0.359], [0.359, 0.359, 0.924], [0.359, 0.359, 0.359], [0.651, 0.116, 0.116], [0.116, 0.651, 0.116], [0.116, 0.116, 0.651], [0.116, 0.116, 0.116], [0.153, 0.616, 0.616], [0.616, 0.153, 0.616], [0.616, 0.616, 0.153], [0.616, 0.616, 0.616]], "e_form_raw_kcal_per_mol_atoms": -19.03, "spacegroup": "No. 216", "crystal_system": "cubic", "dos_ef_per_ev_atom": 0.962, "e_above_lowest_polymorph_kj_per_mol_atoms": 5.5, "total_magnetization_mub_per_fu": 0.28}

{"formula": "SrHo2TcO8", "functional": "PBE", "state": "relaxed", "lattice_angstrom": [[5.164, 0.106, -0.002], [0.096, 4.295, 0.637], [0.052, 0.987, 6.880]], "species": ["Sr", "Ho", "Ho", "Tc", "O", "O", "O", "O", "O", "O", "O", "O"], "fractional_positions": [[0.000, 0.000, 0.500], [0.519, 0.396, 0.786], [0.481, 0.604, 0.214], [0.000, 0.000, 0.000], [0.028, 0.654, 0.248], [0.698, 0.828, 0.909], [0.777, 0.223, 0.128], [0.972, 0.346, 0.752], [0.302, 0.172, 0.091], [0.223, 0.777, 0.872], [0.502, 0.762, 0.492], [0.498, 0.238, 0.508]], "e_form_raw_kcal_per_mol_atoms": -54.29, "spacegroup": "No. 2", "crystal_system": "triclinic", "dos_ef_per_ev_atom": 0.161, "total_magnetization_mub_per_fu": 0.20}

- Number 2 is which compound?
  SrHo2TcO8